A relaxed Tb2Sm4HoTm2 crystal, computed with PBE-GGA. Values from VASP.

Summary:
N(E_F)   1.44 states/eV per atom
Space group   C2/m (12)
Raw total energy   -41.47 eV/cell
Total magnetic moment   0.0 μB/f.u.

Structure (Quantum ESPRESSO input):
```
&SYSTEM
  ibrav = 0, nat = 9, ntyp = 4
/
ATOMIC_SPECIES
Tm 168.93 Tm.upf
Sm 150.36 Sm.upf
Tb 158.93 Tb.upf
Ho 164.93 Ho.upf
CELL_PARAMETERS angstrom
-3.4312 0.7662 3.6192
-3.7027 -3.0806 -6.3754
3.0451 -6.0775 4.1735
ATOMIC_POSITIONS crystal
Tm 0.3328 0.6657 0.0000
Tm 0.6672 0.3343 0.0000
Sm 0.2224 0.4447 0.3315
Sm 0.4454 0.8908 0.6692
Sm 0.7776 0.5553 0.6685
Sm 0.5546 0.1092 0.3308
Tb 0.1114 0.2229 0.6691
Tb 0.8886 0.7771 0.3309
Ho 0.0000 0.0000 0.0000
```


A relaxed Na3Tb3PdO8 crystal, computed with PBE-GGA. Values from VASP.

Summary:
Space group   R-3m (166)
Raw total energy   -97.21 eV/cell
Total magnetic moment   0.0 μB/f.u.
Raw formation energy   -2300 meV per atom

Structure (Quantum ESPRESSO input):
```
&SYSTEM
  ibrav = 0, nat = 15, ntyp = 4
/
ATOMIC_SPECIES
Na 22.99 Na.upf
O 16.00 O.upf
Tb 158.93 Tb.upf
Pd 106.42 Pd.upf
CELL_PARAMETERS angstrom
-6.2294 0.4612 -2.5387
0.9645 -2.7234 6.0924
0.8546 6.6716 -0.8848
ATOMIC_POSITIONS crystal
Na 0.0000 0.0000 0.0000
Na 0.0000 0.5000 0.0000
Na 0.5000 0.5000 0.0000
O 0.2201 0.4401 0.7023
O 0.2378 0.0177 0.2977
O 0.7799 0.0177 0.2977
O 0.7622 0.9823 0.7023
O 0.2201 0.9823 0.7023
O 0.7366 0.4731 0.7097
O 0.2634 0.5269 0.2903
O 0.7799 0.5599 0.2977
Tb 0.5000 0.0000 0.5000
Tb 0.5000 0.5000 0.5000
Tb 0.0000 0.5000 0.5000
Pd 0.0000 0.0000 0.5000
```


A relaxed Zr2Ge2Pd crystal, computed with PBE-GGA. Values from VASP.

Summary:
N(E_F)   0.60 states/eV per atom
Space group   P4/mbm (127)
Raw total energy   -70.92 eV/cell
Total magnetic moment   0.0 μB/f.u.

Structure (Quantum ESPRESSO input):
```
&SYSTEM
  ibrav = 0, nat = 10, ntyp = 3
/
ATOMIC_SPECIES
Pd 106.42 Pd.upf
Ge 72.64 Ge.upf
Zr 91.22 Zr.upf
CELL_PARAMETERS angstrom
6.6664 0.0000 0.0000
0.0000 6.6664 0.0000
0.0000 0.0000 4.0895
ATOMIC_POSITIONS crystal
Pd 0.5000 0.5000 0.0000
Pd 0.0000 0.0000 0.0000
Ge 0.8671 0.6329 0.0000
Ge 0.6329 0.1329 0.0000
Ge 0.3671 0.8671 0.0000
Ge 0.1329 0.3671 0.0000
Zr 0.6728 0.8272 0.5000
Zr 0.8272 0.3272 0.5000
Zr 0.3272 0.1728 0.5000
Zr 0.1728 0.6728 0.5000
```


A relaxed Sr2GeH2 crystal, computed with PBE-GGA. Values from VASP.

Summary:
N(E_F)   0.25 states/eV per atom
Space group   P4/mbm (127)
Raw total energy   -31.70 eV/cell
Total magnetic moment   0.0 μB/f.u.

Structure (Quantum ESPRESSO input):
```
&SYSTEM
  ibrav = 0, nat = 10, ntyp = 3
/
ATOMIC_SPECIES
H 1.01 H.upf
Sr 87.62 Sr.upf
Ge 72.64 Ge.upf
CELL_PARAMETERS angstrom
7.6482 0.0000 0.0000
0.0000 7.6482 0.0000
0.0000 0.0000 3.2879
ATOMIC_POSITIONS crystal
H 0.1117 0.3883 0.0000
H 0.3883 0.8883 0.0000
H 0.8883 0.6117 0.0000
H 0.6117 0.1117 0.0000
Sr 0.3246 0.1754 0.5000
Sr 0.8246 0.3246 0.5000
Sr 0.1754 0.6754 0.5000
Sr 0.6754 0.8246 0.5000
Ge 0.0000 0.0000 0.0000
Ge 0.5000 0.5000 0.0000
```


A relaxed Ca2InW crystal, computed with PBE-GGA. Values from VASP.

Summary:
N(E_F)   1.52 states/eV per atom
Space group   P4mm (99)
Raw total energy   -17.61 eV/cell
Total magnetic moment   0.6 μB/f.u.

Structure (Quantum ESPRESSO input):
```
&SYSTEM
  ibrav = 0, nat = 4, ntyp = 3
/
ATOMIC_SPECIES
Ca 40.08 Ca.upf
W 183.84 W.upf
In 114.82 In.upf
CELL_PARAMETERS angstrom
3.6488 0.0000 0.0000
0.0000 3.6488 0.0000
0.0000 0.0000 8.2615
ATOMIC_POSITIONS crystal
Ca 0.0000 0.0000 0.9352
Ca 0.5000 0.5000 0.3107
W 0.5000 0.5000 0.6968
In 0.0000 0.0000 0.5573
```


A relaxed Al2CuP crystal, computed with PBE-GGA. Values from VASP.

Summary:
N(E_F)   0.05 states/eV per atom
Space group   I-42d (122)
Raw total energy   -33.22 eV/cell
Total magnetic moment   0.0 μB/f.u.

Structure (Quantum ESPRESSO input):
```
&SYSTEM
  ibrav = 0, nat = 8, ntyp = 3
/
ATOMIC_SPECIES
Cu 63.55 Cu.upf
P 30.97 P.upf
Al 26.98 Al.upf
CELL_PARAMETERS angstrom
6.1042 0.0000 0.0000
0.0000 6.1042 0.0000
3.0521 3.0521 4.2692
ATOMIC_POSITIONS crystal
Cu 0.7500 0.2500 0.5000
Cu 0.0000 0.0000 0.0000
P 0.5000 0.5000 0.0000
P 0.2500 0.7500 0.5000
Al 0.6141 0.1250 0.2500
Al 0.8750 0.8641 0.7500
Al 0.1359 0.6250 0.2500
Al 0.3750 0.3859 0.7500
```


A relaxed Dy6Zn2Ag crystal, computed with PBE-GGA. Values from VASP.

Summary:
N(E_F)   1.22 states/eV per atom
Space group   I4/mmm (139)
Raw total energy   -32.78 eV/cell
Total magnetic moment   0.0 μB/f.u.

Structure (Quantum ESPRESSO input):
```
&SYSTEM
  ibrav = 0, nat = 9, ntyp = 3
/
ATOMIC_SPECIES
Zn 65.41 Zn.upf
Dy 162.50 Dy.upf
Ag 107.87 Ag.upf
CELL_PARAMETERS angstrom
-0.7377 -4.7605 -1.1554
4.3114 -1.1857 2.1326
-6.7604 1.5020 8.7482
ATOMIC_POSITIONS crystal
Zn 0.6666 0.6666 0.3331
Zn 0.3334 0.3334 0.6669
Dy 0.5861 0.0861 0.1722
Dy 0.0861 0.5861 0.1722
Dy 0.4139 0.9139 0.8278
Dy 0.2500 0.7500 0.5000
Dy 0.7500 0.2500 0.5000
Dy 0.9139 0.4139 0.8278
Ag 0.0000 0.0000 0.0000
```


A relaxed Ho2Se2F crystal, computed with PBE-GGA. Values from VASP.

Summary:
N(E_F)   0.29 states/eV per atom
Space group   C2/m (12)
Raw total energy   -56.97 eV/cell
Total magnetic moment   0.0 μB/f.u.
Raw formation energy   -2098 meV per atom

Structure (Quantum ESPRESSO input):
```
&SYSTEM
  ibrav = 0, nat = 10, ntyp = 3
/
ATOMIC_SPECIES
Ho 164.93 Ho.upf
Se 78.96 Se.upf
F 19.00 F.upf
CELL_PARAMETERS angstrom
4.1216 0.0000 0.0000
0.0000 7.2082 0.0347
-2.0608 -1.0664 9.9196
ATOMIC_POSITIONS crystal
Ho 0.6669 0.3984 0.3338
Ho 0.8367 0.1197 0.6733
Ho 0.3331 0.6016 0.6662
Ho 0.1633 0.8803 0.3267
Se 0.8977 0.7980 0.7953
Se 0.1023 0.2020 0.2047
Se 0.4063 0.3024 0.8127
Se 0.5937 0.6976 0.1873
F 0.2199 0.5833 0.4397
F 0.7801 0.4167 0.5603
```